No. 1
# PBE KBaV, relaxed
# magnetic moment = 0.00 Bohr magnetons per cell
data_KBaV
_space_group_name_H-M_alt 'P 1'
_space_group_IT_number 1
_space_group_name_Hall 'P 1'
_cell_length_a 4.477
_cell_length_b 4.479
_cell_length_c 16.272
_cell_angle_alpha 95.34
_cell_angle_beta 94.74
_cell_angle_gamma 111.03
loop_
_atom_site_label
_atom_site_fract_x
_atom_site_fract_y
_atom_site_fract_z
K1 0.000 0.000 0.000
K2 0.414 0.353 0.767
Ba1 0.649 0.602 0.247
Ba2 0.783 0.743 0.521
V1 0.090 0.298 0.384
V2 0.342 0.048 0.384

No. 2
# PBE KBaV, relaxed
# magnetic moment = 0.00 Bohr magnetons per cell
data_KBaV
_space_group_name_H-M_alt 'C 1 m 1'
_space_group_IT_number 8
_space_group_name_Hall 'C -2y'
_cell_length_a 17.679
_cell_length_b 4.295
_cell_length_c 8.053
_cell_angle_alpha 90.00
_cell_angle_beta 90.19
_cell_angle_gamma 90.00
loop_
_atom_site_label
_atom_site_fract_x
_atom_site_fract_y
_atom_site_fract_z
K1 0.000 0.000 0.000
K2 0.220 0.500 0.000
Ba1 0.179 0.000 0.500
Ba2 0.397 0.500 0.500
V1 0.040 0.500 0.386
V2 0.040 0.500 0.614

No. 3
# PBE KBaV, relaxed
# magnetic moment = 0.00 Bohr magnetons per cell
data_KBaV
_space_group_name_H-M_alt 'C 1 m 1'
_space_group_IT_number 8
_space_group_name_Hall 'C -2y'
_cell_length_a 10.599
_cell_length_b 6.140
_cell_length_c 9.124
_cell_angle_alpha 90.00
_cell_angle_beta 112.69
_cell_angle_gamma 90.00
loop_
_atom_site_label
_atom_site_fract_x
_atom_site_fract_y
_atom_site_fract_z
K1 0.000 0.000 0.000
K2 0.102 0.500 0.805
Ba1 0.168 0.000 0.504
Ba2 0.267 0.500 0.300
V1 0.391 0.000 0.172
V2 0.463 0.000 0.388

No. 4
# PBE KBaV, relaxed
# magnetic moment = 22.87 Bohr magnetons per cell
data_KBaV
_space_group_name_H-M_alt 'F -4 3 m'
_space_group_IT_number 216
_space_group_name_Hall 'F -4 2 3'
_cell_length_a 8.437
_cell_length_b 8.437
_cell_length_c 8.437
_cell_angle_alpha 90.00
_cell_angle_beta 90.00
_cell_angle_gamma 90.00
loop_
_atom_site_label
_atom_site_fract_x
_atom_site_fract_y
_atom_site_fract_z
K1 0.000 0.000 0.000
Ba1 0.000 0.000 0.500
V1 0.250 0.250 0.750

| no. | Fermi-level density of states (states/eV/f.u.) | uncorrected energy (eV/atom) |
| --- | --- | --- |
| 1 | 2.8 | -3.561 |
| 2 | 2.9 | -3.357 |
| 3 | 3.3 | -3.331 |
| 4 | 5.9 | -2.985 |